(1)
VASP calculation (PBE) on a geometry-optimized TlCuP2O6 structure.

Raw formation energy   -1.70 eV per atom
Size of the total moment   0.284 Bohr magnetons per cell
Raw total energy   -6.403 eV/atom

The structure in POSCAR format:
```
TlCuP2O6
1.0
5.6942 -6.4345 0.0000
5.6942 6.4345 0.0000
-0.9291 0.0000 4.5761
Tl Cu P O
2 2 4 12
Direct
0.1359 0.8641 0.7500 Tl
0.8641 0.1359 0.2500 Tl
0.3377 0.6623 0.2500 Cu
0.6623 0.3377 0.7500 Cu
0.2098 0.3495 0.8612 P
0.3495 0.2098 0.3612 P
0.6505 0.7902 0.6388 P
0.7902 0.6505 0.1388 P
0.0619 0.2328 0.8124 O
0.1999 0.5216 0.9710 O
0.2328 0.0619 0.3124 O
0.2903 0.3531 0.5673 O
0.3531 0.2903 0.0673 O
0.4784 0.8001 0.5290 O
0.5216 0.1999 0.4710 O
0.6469 0.7097 0.9327 O
0.7097 0.6469 0.4327 O
0.7672 0.9381 0.6876 O
0.8001 0.4784 0.0290 O
0.9381 0.7672 0.1876 O
```

---

(2)
VASP calculation (PBE) on a geometry-optimized LaPuIrPt structure.

ΔH_f (0 K)   -2.7 eV per formula unit
Size of the total moment   5.236 Bohr magnetons per cell
Raw total energy   -9.213 eV/atom

The structure in POSCAR format:
```
LaPuIrPt
1.0
0.0000 3.5487 3.5487
3.5487 0.0000 3.5487
3.5487 3.5487 0.0000
La Pu Ir Pt
1 1 1 1
Direct
0.0000 0.0000 0.0000 La
0.5000 0.5000 0.5000 Pu
0.7500 0.7500 0.7500 Ir
0.2500 0.2500 0.2500 Pt
```

---

(3)
VASP calculation (PBE) on a geometry-optimized PmFeSn2 structure.

ΔH_f (0 K)   -1.1 eV per formula unit
Size of the total moment   1.816 Bohr magnetons per cell
Raw total energy   -5.574 eV/atom

The structure in POSCAR format:
```
PmFeSn2
1.0
2.2171 1.2800 5.4750
-2.2171 1.2800 5.4750
0.0000 -2.5601 5.4750
Pm Fe Sn
1 1 2
Direct
0.0000 0.0000 0.0000 Pm
0.5000 0.5000 0.5000 Fe
0.2209 0.2209 0.2209 Sn
0.7791 0.7791 0.7791 Sn
```

---

(4)
VASP calculation (PBE) on a geometry-optimized ZnSiBI2 structure.

Raw formation energy   1.01 eV per atom
Size of the total moment   0.000 Bohr magnetons per cell
Raw total energy   -2.281 eV/atom

The structure in POSCAR format:
```
ZnSiBI2
1.0
5.7863 0.0000 0.0000
0.0000 5.7863 0.0000
0.0000 0.0000 3.9876
Zn Si B I
1 1 1 2
Direct
0.0000 0.0000 0.0000 Zn
0.5000 0.5000 0.5000 Si
0.0000 0.0000 0.5000 B
0.0000 0.5000 0.0000 I
0.5000 0.0000 0.0000 I
```

---

(5)
VASP calculation (PBE) on a geometry-optimized Sr2Au17 structure.

ΔH_f (0 K)   -5.2 eV per formula unit
Size of the total moment   0.000 Bohr magnetons per cell
Raw total energy   -3.385 eV/atom

The structure in POSCAR format:
```
Sr2Au17
1.0
4.8716 2.8126 4.7638
-4.8716 2.8126 4.7638
0.0000 -5.6253 4.7638
Sr Au
2 17
Direct
0.1618 0.1618 0.1618 Sr
0.8382 0.8382 0.8382 Sr
0.0000 0.5000 0.5000 Au
0.1515 0.1515 0.6572 Au
0.1515 0.6572 0.1515 Au
0.1946 0.5000 0.8054 Au
0.1946 0.8054 0.5000 Au
0.3428 0.8485 0.8485 Au
0.3998 0.3998 0.3998 Au
0.5000 0.0000 0.5000 Au
0.5000 0.1946 0.8054 Au
0.5000 0.5000 0.0000 Au
0.5000 0.8054 0.1946 Au
0.6002 0.6002 0.6002 Au
0.6572 0.1515 0.1515 Au
0.8054 0.1946 0.5000 Au
0.8054 0.5000 0.1946 Au
0.8485 0.3428 0.8485 Au
0.8485 0.8485 0.3428 Au
```

---

(6)
VASP calculation (PBE) on a geometry-optimized InPd2OF structure.

Raw formation energy   -0.41 eV per atom
Size of the total moment   0.000 Bohr magnetons per cell
Raw total energy   -4.401 eV/atom

The structure in POSCAR format:
```
InPd2OF
1.0
4.0085 0.0000 0.0000
0.0000 4.0085 0.0000
0.0000 0.0000 5.5572
In Pd O F
1 2 1 1
Direct
0.0000 0.0000 0.0000 In
0.0000 0.5000 0.5000 Pd
0.5000 0.0000 0.5000 Pd
0.0000 0.0000 0.5000 O
0.5000 0.5000 0.0000 F
```

---

What is the size of the total moment in the fourth record?
0.000 Bohr magnetons per cell

---

Which of these has the highest size of the total moment?
LaPuIrPt

---

Which value of raw total energy does entry 4 give?
-2.281 eV/atom

---

size of the total moment of number 3 (PmFeSn2)?
1.816 Bohr magnetons per cell